Compound: CsFeI2O8
Source: Alexandria
Functional: GGA+U
Structure: relaxed

E_tot: -4.590 eV/atom
Crystal system: trigonal
Magnetic moment: 8.79 μB per cell
N(E_F): 3.6 states/eV/f.u.

a = 5.4265 Å, b = 5.4265 Å, c = 25.2811 Å
α = 90.00°, β = 90.00°, γ = 120.00°
Closest atoms and distances in Å follow each position.
Space group R-3 (No. 148, hexagonal axes)
Asymmetric unit:
Cs  0.0000  0.0000  0.0000 [3 per cell]  12 O 3.33-3.64
Fe  0.0000  0.0000  0.5000 [3 per cell]  6 O 1.94
I  0.0000  0.0000  0.2176 [6 per cell]  4 O 1.79-1.95
O  0.0000  0.0000  0.2884 [6 per cell]  1 I 1.79
O  0.0036  0.2933  0.5443 [18 per cell]  1 Fe 1.94, 1 I 1.95